No. 1
Below is an optimized crystal structure of SrZn2As2, with properties calculated at the PBE level.

Properties
ΔE_f: -0.26 eV per atom
Calculated total energy: -2.96 eV per atom
Crystal system: tetragonal
Total magnetic moment: 0.00 μB per atom

Cell lengths 7.822, 7.822, 3.446 Å; angles 90.00, 90.00, 90.00 degrees
Space group P4/mbm (No. 127)
Inequivalent atoms, fractional coordinates:
Sr 0.000 0.000 0.000 [2 per cell]
Zn 0.114 0.386 0.000 [4 per cell]
As 0.190 0.690 0.500 [4 per cell]


No. 2
Below is an optimized crystal structure of Sr2Zn2As, with properties calculated at the PBE level.

Properties
ΔE_f: -0.44 eV per atom
Excess energy over the best structure of this formula in the dataset: 0.0000 eV per atom
Calculated total energy: -2.55 eV per atom
Crystal system: tetragonal
Total magnetic moment: 0.00 μB per atom

Cell lengths 3.813, 3.813, 19.033 Å; angles 90.00, 90.00, 90.00 degrees
Space group I4/mmm (No. 139)
Inequivalent atoms, fractional coordinates:
Sr 0.000 0.000 0.092 [4 per cell]
Zn 0.000 0.500 0.250 [4 per cell]
As 0.000 0.000 0.500 [2 per cell]


No. 3
Below is an optimized crystal structure of SrZn2As2, with properties calculated at the PBE level.

Properties
ΔE_f: -0.64 eV per atom
Calculated total energy: -3.34 eV per atom
Crystal system: orthorhombic
Total magnetic moment: 0.00 μB per atom

Cell lengths 10.003, 4.180, 10.819 Å; angles 90.00, 90.00, 90.00 degrees
Space group Pnma (No. 62)
Inequivalent atoms, fractional coordinates:
Sr 0.248 0.250 0.184 [4 per cell]
Zn 0.056 0.750 0.390 [4 per cell]
Zn 0.090 0.750 0.952 [4 per cell]
As 0.023 0.250 0.831 [4 per cell]
As 0.161 0.250 0.471 [4 per cell]


No. 4
Below is an optimized crystal structure of Sr2Zn2As, with properties calculated at the PBE level.

Properties
ΔE_f: -0.37 eV per atom
Excess energy over the best structure of this formula in the dataset: 0.0705 eV per atom
Calculated total energy: -2.48 eV per atom
Crystal system: tetragonal
Total magnetic moment: 0.00 μB per atom

Cell lengths 7.597, 7.597, 4.649 Å; angles 90.00, 90.00, 90.00 degrees
Space group P4/mbm (No. 127)
Inequivalent atoms, fractional coordinates:
Sr 0.187 0.313 0.000 [4 per cell]
Zn 0.116 0.616 0.500 [4 per cell]
As 0.000 0.000 0.500 [2 per cell]


No. 5
Below is an optimized crystal structure of SrZnAs4, with properties calculated at the PBE level.

Properties
ΔE_f: -0.13 eV per atom
Calculated total energy: -3.73 eV per atom
Crystal system: cubic
Total magnetic moment: 0.00 μB per atom

Cell lengths 8.177, 8.177, 8.177 Å; angles 90.00, 90.00, 90.00 degrees
Space group F-43m (No. 216)
Inequivalent atoms, fractional coordinates:
Sr 0.000 0.000 0.000 [4 per cell]
Zn 0.250 0.250 0.750 [4 per cell]
As 0.118 0.118 0.382 [16 per cell]


No. 6
Below is an optimized crystal structure of SrZn3As, with properties calculated at the PBE level.

Properties
ΔE_f: 0.09 eV per atom
Excess energy over the best structure of this formula in the dataset: 0.0000 eV per atom
Calculated total energy: -1.94 eV per atom
Crystal system: cubic
Total magnetic moment: 0.00 μB per atom

Cell lengths 5.050, 5.050, 5.050 Å; angles 90.00, 90.00, 90.00 degrees
Space group Pm-3m (No. 221)
Inequivalent atoms, fractional coordinates:
Sr 0.000 0.000 0.000 [1 per cell]
Zn 0.000 0.500 0.500 [3 per cell]
As 0.500 0.500 0.500 [1 per cell]


No. 7
Below is an optimized crystal structure of SrZrZnAs3, with properties calculated at the PBE level.

Properties
ΔE_f: -0.77 eV per atom
Calculated total energy: -5.01 eV per atom
Crystal system: monoclinic
Total magnetic moment: 0.00 μB per atom

Cell lengths 8.373, 4.010, 9.177 Å; angles 90.00, 108.97, 90.00 degrees
Space group P2_1/m (No. 11)
Inequivalent atoms, fractional coordinates:
Sr 0.210 0.250 0.241 [2 per cell]
Zr 0.323 0.750 0.855 [2 per cell]
Zn 0.093 0.250 0.595 [2 per cell]
As 0.102 0.250 0.869 [2 per cell]
As 0.246 0.750 0.534 [2 per cell]
As 0.461 0.750 0.169 [2 per cell]


No. 8
Below is an optimized crystal structure of Sr2ZrAs, with properties calculated at the PBE level.

Properties
ΔE_f: 0.10 eV per atom
Calculated total energy: -4.04 eV per atom
Crystal system: orthorhombic
Total magnetic moment: 0.00 μB per atom

Cell lengths 6.378, 9.899, 3.647 Å; angles 90.00, 90.00, 90.00 degrees
Space group Cmmm (No. 65)
Inequivalent atoms, fractional coordinates:
Sr 0.250 0.250 0.000 [4 per cell]
Zr 0.000 0.000 0.500 [2 per cell]
As 0.000 0.500 0.500 [2 per cell]


No. 9
Below is an optimized crystal structure of SrZrAs4, with properties calculated at the PBE level.

Properties
ΔE_f: -0.07 eV per atom
Calculated total energy: -4.88 eV per atom
Crystal system: cubic
Total magnetic moment: 0.06 μB per atom

Cell lengths 8.091, 8.091, 8.091 Å; angles 90.00, 90.00, 90.00 degrees
Space group F-43m (No. 216)
Inequivalent atoms, fractional coordinates:
Sr 0.000 0.000 0.000 [4 per cell]
Zr 0.250 0.250 0.750 [4 per cell]
As 0.123 0.123 0.377 [16 per cell]


No. 10
Below is an optimized crystal structure of Sr2ZrAs, with properties calculated at the PBE level.

Properties
ΔE_f: 0.09 eV per atom
Calculated total energy: -4.05 eV per atom
Crystal system: tetragonal
Total magnetic moment: 0.31 μB per atom

Cell lengths 4.555, 4.555, 10.791 Å; angles 90.00, 90.00, 90.00 degrees
Space group I4/mmm (No. 139)
Inequivalent atoms, fractional coordinates:
Sr 0.000 0.500 0.250 [4 per cell]
Zr 0.000 0.000 0.000 [2 per cell]
As 0.000 0.000 0.500 [2 per cell]


No. 11
Below is an optimized crystal structure of Sr2ZrAs, with properties calculated at the PBE level.

Properties
ΔE_f: 0.04 eV per atom
Calculated total energy: -4.10 eV per atom
Crystal system: tetragonal
Total magnetic moment: 0.62 μB per atom

Cell lengths 4.952, 4.952, 4.759 Å; angles 90.00, 90.00, 90.00 degrees
Space group P4/mmm (No. 123)
Inequivalent atoms, fractional coordinates:
Sr 0.000 0.500 0.000 [2 per cell]
Zr 0.000 0.000 0.500 [1 per cell]
As 0.500 0.500 0.500 [1 per cell]


No. 12
Below is an optimized crystal structure of Sr2ZrAs, with properties calculated at the PBE level.

Properties
ΔE_f: -0.37 eV per atom
Calculated total energy: -4.51 eV per atom
Crystal system: tetragonal
Total magnetic moment: 0.27 μB per atom

Cell lengths 3.756, 3.756, 9.281 Å; angles 90.00, 90.00, 90.00 degrees
Space group P4mm (No. 99)
Inequivalent atoms, fractional coordinates:
Sr 0.000 0.000 0.000 [1 per cell]
Sr 0.500 0.500 0.374 [1 per cell]
Zr 0.000 0.000 0.649 [1 per cell]
As 0.500 0.500 0.743 [1 per cell]